Run a
VASP calculation (meta-GGA SCAN) on a crystal of Li2TiV3O8 relaxed with PBEsol.

Lattice parameters (Å, degrees): 8.205 8.205 8.205 90.00 90.00 90.00
Space group P2_13 (No. 198)
Inequivalent atoms, fractional coordinates:
Li  0.005  0.005  0.005
Li  0.249  0.249  0.249
Ti  0.119  0.881  0.381
V  0.123  0.135  0.631
O  0.109  0.117  0.389
O  0.114  0.614  0.886
O  0.128  0.372  0.628
O  0.133  0.637  0.361

Run b
VASP calculation (meta-GGA SCAN) on a crystal of Li2TiV3O8 relaxed with PBEsol.

Lattice parameters (Å, degrees): 11.776 3.915 6.362 90.00 107.17 90.00
Space group Cm (No. 8)
Inequivalent atoms, fractional coordinates:
Li  0.000  0.000  0.000
Li  0.111  0.000  0.680
Ti  0.268  0.500  0.620
V  0.170  0.500  0.035
V  0.343  0.000  0.055
V  0.444  0.000  0.635
O  0.116  0.500  0.695
O  0.170  0.000  0.015
O  0.206  0.500  0.333
O  0.282  0.000  0.685
O  0.331  0.500  0.997
O  0.400  0.000  0.340
O  0.443  0.500  0.662
O  0.495  0.000  0.979

Relative energy of each structure, in eV/atom: run a 0.000; run b 0.061.

Run a
VASP calculation (meta-GGA SCAN) on a crystal of Na3TiPt relaxed with PBEsol.

Lattice parameters (Å, degrees): 5.404 5.404 5.404 90.00 90.00 90.00
Space group Pm-3m (No. 221)
Inequivalent atoms, fractional coordinates:
Na  0.000  0.000  0.500
Ti  0.000  0.000  0.000
Pt  0.500  0.500  0.500

Run b
VASP calculation (meta-GGA SCAN) on a crystal of Na3TiPt relaxed with PBEsol.

Lattice parameters (Å, degrees): 5.312 5.312 5.312 90.00 90.00 90.00
Space group Pm-3m (No. 221)
Inequivalent atoms, fractional coordinates:
Na  0.000  0.000  0.500
Ti  0.500  0.500  0.500
Pt  0.000  0.000  0.000

Relative energy of each structure, in eV/atom: run a 0.786; run b 0.000.

Run a
VASP calculation (meta-GGA SCAN) on a crystal of MoPt2W relaxed with PBEsol.

Lattice parameters (Å, degrees): 9.175 2.707 4.917 90.00 98.85 90.00
Space group Cm (No. 8)
Inequivalent atoms, fractional coordinates:
Mo  0.000  0.000  0.000
Pt  0.006  0.500  0.496
Pt  0.247  0.500  0.221
W  0.253  0.000  0.718

Run b
VASP calculation (meta-GGA SCAN) on a crystal of MoPt2W relaxed with PBEsol.

Lattice parameters (Å, degrees): 3.823 3.823 4.093 90.00 90.00 90.00
Space group P4/mmm (No. 123)
Inequivalent atoms, fractional coordinates:
Mo  0.000  0.000  0.000
Pt  0.000  0.500  0.500
W  0.500  0.500  0.000

Relative energy of each structure, in eV/atom: run a 0.053; run b 0.000.

Run a
VASP calculation (meta-GGA SCAN) on a crystal of ScTe2Ir relaxed with PBEsol.

Lattice parameters (Å, degrees): 3.8931 3.8931 25.3143 90.00 90.00 120.00
Space group R-3m (No. 166, hexagonal axes)
Inequivalent atoms, fractional coordinates:
Sc  0.0000  0.0000  0.0000
Te  0.0000  0.0000  0.1123
Ir  0.0000  0.0000  0.5000

Run b
VASP calculation (meta-GGA SCAN) on a crystal of ScTe2Ir relaxed with PBEsol.

Lattice parameters (Å, degrees): 4.1609 4.1609 17.7505 90.00 90.00 120.00
Space group R-3m (No. 166, hexagonal axes)
Inequivalent atoms, fractional coordinates:
Sc  0.0000  0.0000  0.0000
Te  0.0000  0.0000  0.2406
Ir  0.0000  0.0000  0.5000

Relative energy of each structure, in eV/atom: run a 0.165; run b 0.000.

Run a
VASP calculation (meta-GGA SCAN) on a crystal of MnAlSe2N relaxed with PBEsol.

Lattice parameters (Å, degrees): 4.999 4.999 3.545 90.00 90.00 90.00
Space group P4/mmm (No. 123)
Inequivalent atoms, fractional coordinates:
Mn  0.000  0.000  0.000
Al  0.500  0.500  0.500
Se  0.000  0.500  0.500
N  0.500  0.500  0.000

Run b
VASP calculation (meta-GGA SCAN) on a crystal of MnAlSe2N relaxed with PBEsol.

Lattice parameters (Å, degrees): 4.869 4.869 3.423 90.00 90.00 90.00
Space group P4/mmm (No. 123)
Inequivalent atoms, fractional coordinates:
Mn  0.000  0.000  0.000
Al  0.500  0.500  0.500
Se  0.000  0.500  0.000
N  0.000  0.000  0.500

Relative energy of each structure, in eV/atom: run a 0.000; run b 0.058.

Run a
VASP calculation (meta-GGA SCAN) on a crystal of SrZrCl2 relaxed with PBEsol.

Lattice parameters (Å, degrees): 5.010 3.440 10.268 90.00 90.00 90.00
Space group Amm2 (No. 38)
Inequivalent atoms, fractional coordinates:
Sr  0.000  0.000  0.000
Zr  0.500  0.000  0.694
Cl  0.000  0.000  0.723
Cl  0.500  0.000  0.409

Run b
VASP calculation (meta-GGA SCAN) on a crystal of SrZrCl2 relaxed with PBEsol.

Lattice parameters (Å, degrees): 3.352 3.424 18.575 90.00 90.00 90.00
Space group Imm2 (No. 44)
Inequivalent atoms, fractional coordinates:
Sr  0.000  0.000  0.000
Zr  0.000  0.500  0.833
Cl  0.000  0.000  0.585
Cl  0.000  0.500  0.267

Relative energy of each structure, in eV/atom: run a 0.100; run b 0.000.

Run a
VASP calculation (meta-GGA SCAN) on a crystal of Li2CuNi relaxed with PBEsol.

Lattice parameters (Å, degrees): 2.931 2.931 5.235 90.00 90.00 90.00
Space group P4/mmm (No. 123)
Inequivalent atoms, fractional coordinates:
Li  0.000  0.000  0.243
Cu  0.500  0.500  0.500
Ni  0.500  0.500  0.000

Run b
VASP calculation (meta-GGA SCAN) on a crystal of Li2CuNi relaxed with PBEsol.

Lattice parameters (Å, degrees): 8.528 2.547 4.290 90.00 100.80 90.00
Space group C2/m (No. 12)
Inequivalent atoms, fractional coordinates:
Li  0.250  0.000  0.245
Cu  0.000  0.000  0.500
Ni  0.000  0.500  0.000

Relative energy of each structure, in eV/atom: run a 0.113; run b 0.000.

Run a
VASP calculation (meta-GGA SCAN) on a crystal of ReOsCl2 relaxed with PBEsol.

Lattice parameters (Å, degrees): 6.234 6.234 6.234 90.00 90.00 90.00
Space group F-43m (No. 216)
Inequivalent atoms, fractional coordinates:
Re  0.000  0.000  0.000
Os  0.250  0.250  0.250
Cl  0.000  0.000  0.500
Cl  0.250  0.250  0.750

Run b
VASP calculation (meta-GGA SCAN) on a crystal of ReOsCl2 relaxed with PBEsol.

Lattice parameters (Å, degrees): 4.285 4.285 3.046 90.00 90.00 90.00
Space group P4/mmm (No. 123)
Inequivalent atoms, fractional coordinates:
Re  0.000  0.000  0.000
Os  0.500  0.500  0.000
Cl  0.000  0.500  0.500

Relative energy of each structure, in eV/atom: run a 0.000; run b 0.661.

Run a
VASP calculation (meta-GGA SCAN) on a crystal of CuOs2Ru relaxed with PBEsol.

Lattice parameters (Å, degrees): 2.693 3.768 5.232 90.00 90.00 90.00
Space group Pmm2 (No. 25)
Inequivalent atoms, fractional coordinates:
Cu  0.000  0.000  0.000
Os  0.000  0.000  0.499
Os  0.500  0.500  0.248
Ru  0.500  0.500  0.762

Run b
VASP calculation (meta-GGA SCAN) on a crystal of CuOs2Ru relaxed with PBEsol.

Lattice parameters (Å, degrees): 5.991 5.991 5.991 90.00 90.00 90.00
Space group Fm-3m (No. 225)
Inequivalent atoms, fractional coordinates:
Cu  0.000  0.000  0.000
Os  0.250  0.250  0.250
Ru  0.000  0.000  0.500

Relative energy of each structure, in eV/atom: run a 0.000; run b 0.352.

Run a
VASP calculation (meta-GGA SCAN) on a crystal of IrOsRh relaxed with PBEsol.

Lattice parameters (Å, degrees): 2.6971 2.6971 6.6072 90.00 90.00 120.00
Space group P3m1 (No. 156)
Inequivalent atoms, fractional coordinates:
Ir  0.0000  0.0000  0.0000
Os  0.3333  0.6667  0.6713
Rh  0.6667  0.3333  0.3424

Run b
VASP calculation (meta-GGA SCAN) on a crystal of IrOsRh relaxed with PBEsol.

Lattice parameters (Å, degrees): 5.834 5.834 5.834 90.00 90.00 90.00
Space group F-43m (No. 216)
Inequivalent atoms, fractional coordinates:
Ir  0.000  0.000  0.000
Os  0.250  0.250  0.750
Rh  0.000  0.000  0.500

Relative energy of each structure, in eV/atom: run a 0.000; run b 0.589.

Run a
VASP calculation (meta-GGA SCAN) on a crystal of Zr2TlIn relaxed with PBEsol.

Lattice parameters (Å, degrees): 4.438 4.438 8.697 90.00 90.00 90.00
Space group I4/mmm (No. 139)
Inequivalent atoms, fractional coordinates:
Zr  0.000  0.500  0.250
Tl  0.000  0.000  0.000
In  0.000  0.000  0.500

Run b
VASP calculation (meta-GGA SCAN) on a crystal of Zr2TlIn relaxed with PBEsol.

Lattice parameters (Å, degrees): 7.024 7.024 7.024 90.00 90.00 90.00
Space group Fm-3m (No. 225)
Inequivalent atoms, fractional coordinates:
Zr  0.250  0.250  0.250
Tl  0.000  0.000  0.000
In  0.000  0.000  0.500

Relative energy of each structure, in eV/atom: run a 0.000; run b 0.184.

Run a
VASP calculation (meta-GGA SCAN) on a crystal of Te3P relaxed with PBEsol.

Lattice parameters (Å, degrees): 3.7171 3.7171 8.4548 90.00 90.00 120.00
Space group P-6m2 (No. 187)
Inequivalent atoms, fractional coordinates:
Te  0.0000  0.0000  0.0000
Te  0.3333  0.6667  0.2806
P  0.0000  0.0000  0.5000

Run b
VASP calculation (meta-GGA SCAN) on a crystal of Te3P relaxed with PBEsol.

Lattice parameters (Å, degrees): 3.633 5.227 10.427 90.00 90.00 90.00
Space group Cmmm (No. 65)
Inequivalent atoms, fractional coordinates:
Te  0.000  0.000  0.000
Te  0.000  0.500  0.300
P  0.000  0.000  0.500

Relative energy of each structure, in eV/atom: run a 0.000; run b 0.111.